1.
{
  "formula": "ZrHIr2Ru",
  "functional": "PBE",
  "state": "relaxed",
  "dos_ef_per_ev_cell": 3.5,
  "energy_ev_per_cell": -40.844,
  "lattice": [[3.9488, 0.0000, 0.0000], [0.0000, 3.9488, 0.0000], [0.0000, 0.0000, 4.1824]],
  "species": ["Ru", "Ir", "Zr", "Ir", "H"],
  "frac_coords": [[0.5000, 0.5000, 0.5000], [0.5000, 0.0000, 0.0000], [0.0000, 0.0000, 0.5000], [0.0000, 0.5000, 0.0000], [0.0000, 0.0000, 0.0000]]
}



2.
{
  "formula": "ZrHIrRu2",
  "functional": "PBE",
  "state": "relaxed",
  "dos_ef_per_ev_cell": 5.8,
  "energy_ev_per_cell": -40.938,
  "lattice": [[-1.5315, 3.1333, -1.9877], [0.2445, -2.0604, -3.4364], [-3.7048, -1.4330, 0.5956]],
  "species": ["Ru", "Zr", "H", "Ru", "Ir"],
  "frac_coords": [[0.0000, 0.5000, 0.0000], [0.5000, 0.5000, 0.5000], [0.0000, 0.0000, 0.0000], [0.5000, 0.0000, 0.0000], [0.0000, 0.0000, 0.5000]]
}



3.
{
  "formula": "ZrHIr2Ru",
  "functional": "PBE",
  "state": "relaxed",
  "dos_ef_per_ev_cell": 4.0,
  "energy_ev_per_cell": -41.152,
  "lattice": [[4.0068, 0.0000, 0.0000], [0.0000, 4.0068, 0.0000], [0.0000, 0.0000, 4.0527]],
  "species": ["H", "Ru", "Zr", "Ir", "Ir"],
  "frac_coords": [[0.0000, 0.0000, 0.0000], [0.0000, 0.0000, 0.5000], [0.5000, 0.5000, 0.5000], [0.5000, 0.0000, 0.0000], [0.0000, 0.5000, 0.0000]]
}



Copy entry 1 word for word.
{
  "formula": "ZrHIr2Ru",
  "functional": "PBE",
  "state": "relaxed",
  "dos_ef_per_ev_cell": 3.5,
  "energy_ev_per_cell": -40.844,
  "lattice": [[3.9488, 0.0000, 0.0000], [0.0000, 3.9488, 0.0000], [0.0000, 0.0000, 4.1824]],
  "species": ["Ru", "Ir", "Zr", "Ir", "H"],
  "frac_coords": [[0.5000, 0.5000, 0.5000], [0.5000, 0.0000, 0.0000], [0.0000, 0.0000, 0.5000], [0.0000, 0.5000, 0.0000], [0.0000, 0.0000, 0.0000]]
}



What is the formula in the third record?
ZrHIr2Ru